Entry 1:
The following is a DFT calculation (PBE) of a relaxed structure of KGdFeTe3.

Structure (POSCAR):
```
KGdFeTe3
1.0
16.240 0.000 0.000
0.000 4.307 0.000
0.000 0.000 11.749
K Gd Fe Te
4 4 4 12
Cartesian
3.754 1.077 0.358 K
4.366 3.230 6.233 K
11.874 1.077 5.517 K
12.486 3.230 11.392 K
0.298 1.077 4.033 Gd
7.822 3.230 9.908 Gd
8.418 1.077 1.841 Gd
15.942 3.230 7.716 Gd
0.139 3.230 0.883 Fe
7.981 1.077 6.757 Fe
8.260 3.230 4.992 Fe
16.101 1.077 10.867 Fe
1.451 3.230 10.357 Te
1.702 1.077 6.757 Te
2.091 3.230 2.706 Te
6.029 1.077 8.581 Te
6.418 3.230 0.883 Te
6.669 1.077 4.482 Te
9.571 3.230 7.267 Te
9.822 1.077 10.867 Te
10.211 3.230 3.168 Te
14.149 1.077 9.043 Te
14.538 3.230 4.992 Te
14.789 1.077 1.392 Te
```

- E above lowest polymorph (kJ/mol of formula units) = 3

Entry 2:
The following is a DFT calculation (PBE) of a relaxed structure of LaGdFe.

Structure (POSCAR):
```
LaGdFe
1.0
6.769 0.000 0.000
0.000 6.769 0.000
0.000 0.000 6.769
La Gd Fe
4 4 4
Cartesian
0.000 0.000 0.000 La
0.000 3.384 3.384 La
3.384 0.000 3.384 La
3.384 3.384 0.000 La
0.000 0.000 3.384 Gd
0.000 3.384 0.000 Gd
3.384 0.000 0.000 Gd
3.384 3.384 3.384 Gd
1.692 1.692 5.076 Fe
1.692 5.076 1.692 Fe
5.076 1.692 1.692 Fe
5.076 5.076 5.076 Fe
```

- E above lowest polymorph (kJ/mol of formula units) = 0
- formation enthalpy at 0 K (eV per atom) = 0.2160

Entry 3:
The following is a DFT calculation (PBE) of a relaxed structure of LiGdFeTe3.

Structure (POSCAR):
```
LiGdFeTe3
1.0
13.962 0.000 0.000
0.000 4.129 0.000
0.000 0.000 11.695
Li Gd Fe Te
4 4 4 12
Cartesian
2.967 1.032 0.945 Li
4.014 3.097 6.793 Li
9.948 1.032 4.902 Li
10.995 3.097 10.750 Li
0.014 1.032 3.957 Gd
6.967 3.097 9.805 Gd
6.995 1.032 1.890 Gd
13.948 3.097 7.738 Gd
0.070 3.097 0.846 Fe
6.911 1.032 6.693 Fe
7.051 3.097 5.002 Fe
13.892 1.032 10.849 Fe
1.617 3.097 10.422 Te
1.849 1.032 6.458 Te
1.916 3.097 2.733 Te
5.065 1.032 8.581 Te
5.132 3.097 0.610 Te
5.364 1.032 4.574 Te
8.598 3.097 7.121 Te
8.830 1.032 11.085 Te
8.897 3.097 3.114 Te
12.046 1.032 8.962 Te
12.113 3.097 5.237 Te
12.345 1.032 1.273 Te
```

- E above lowest polymorph (kJ/mol of formula units) = 0

Question: What is the formula in the third record?
Answer: LiGdFeTe3

Question: What is the formula in the third record?
Answer: LiGdFeTe3

Question: Look up the E above lowest polymorph of the first one.
Answer: 3 kJ/mol of formula units